Entry 1:
VASP calculation (PBE) on crystalline Li2Mg3Ag at its relaxed geometry.

Output
* symmetry: Cmmm (65)
* total moment: 0.0000 μB/atom
* ΔE_f: -136 meV/atom
* N(E_F): 0.335 states/eV/atom

a b c (Å): 3.5675 4.6350 13.9091
angles (deg): 90.00 90.00 90.00
Closest atoms and distances in Å follow each position.
Fractional positions:
Li: 0.0000 0.0000 0.6656  8 Mg 2.91-2.97
Li: 0.0000 0.0000 0.3344  8 Mg 2.91-2.97
Li: 0.0000 0.5000 0.1656  8 Mg 2.91-2.97
Li: 0.0000 0.5000 0.8344  8 Mg 2.91-2.97
Mg: 0.5000 0.5000 0.6640  2 Ag 2.90, 6 Li 2.92-2.97
Mg: 0.5000 0.0000 0.5000  4 Li 2.91, 4 Ag 2.92, 4 Mg 3.25
Mg: 0.5000 0.5000 0.3360  2 Ag 2.90, 6 Li 2.92-2.97
Mg: 0.5000 0.0000 0.1640  2 Ag 2.90, 6 Li 2.92-2.97
Mg: 0.5000 0.5000 0.0000  4 Li 2.91, 4 Ag 2.92, 4 Mg 3.25
Mg: 0.5000 0.0000 0.8360  2 Ag 2.90, 6 Li 2.92-2.97
Ag: 0.0000 0.5000 0.5000  8 Mg 2.90-2.92
Ag: 0.0000 0.0000 0.0000  8 Mg 2.90-2.92

---

Entry 2:
VASP calculation (PBE) on crystalline Ga2GeAu at its relaxed geometry.

Output
* symmetry: R-3m (166)
* total moment: 0.0000 μB/atom
* ΔE_f: 196 meV/atom
* N(E_F): 0.340 states/eV/atom

a b c (Å): 3.9027 3.9027 7.8953
angles (deg): 75.69 75.69 60.00
Closest atoms and distances in Å follow each position.
Fractional positions:
Ge: 0.5000 0.5000 0.5000  6 Ga 2.60
Au: 0.0000 0.0000 0.0000  2 Ga 2.48
Ga: 0.1092 0.1092 0.6725  1 Au 2.48, 3 Ge 2.60
Ga: 0.8908 0.8908 0.3275  1 Au 2.48, 3 Ge 2.60